Crystalline CaCrSb at its relaxed geometry, computed with PBE.

The value obtained for the density of states at the Fermi level is 2.14 states/eV/f.u. For the uncorrected formation energy, the calculation gives 0.00 eV/atom.

The structure belongs to space group I4mm (No. 107); the cell edges are 3.715, 3.715 and 10.919 Å and the angles 90.00°, 90.00° and 90.00°. Symmetry generates all atoms from Ca at (0.000, 0.000, 0.000), Cr at (0.000, 0.000, 0.711) and Sb at (0.000, 0.000, 0.303).